Record 1
Material: KYFe
Method: DFT, PBE
State: relaxed

Computed properties:
Formation energy   1.06 eV per atom
E_tot   -12.84 eV/cell

Lattice parameters (Å, degrees): 5.3523 5.3523 3.2770 90.00 90.00 120.00
Last column: nearest neighbours and their distance in Å.
Fractional coordinates of all 3 atoms:
Y 0.3333 0.6667 0.6643  2 Y 3.28, 6 K 3.45-3.55, 6 Fe 3.46-3.54
Fe 0.0000 0.0000 0.1367  3 K 3.10, 2 Fe 3.28, 3 Y 3.46
K 0.6667 0.3333 0.1990  3 Fe 3.10, 2 K 3.28, 3 Y 3.45

=====

Record 2
Material: Ho2PtCl
Method: DFT, PBE
State: relaxed

Computed properties:
ΔE_f (raw)   -31.7 kcal/mol of atoms
E_tot   -22.53 eV/cell

Lattice parameters (Å, degrees): 4.2171 4.2171 8.4350 75.52 75.52 60.00
Last column: nearest neighbours and their distance in Å.
Fractional coordinates of all 4 atoms:
Cl 0.0000 0.0000 0.0000  2 Ho 2.65
Ho 0.1096 0.1096 0.6713  1 Cl 2.65, 3 Pt 2.80
Ho 0.8904 0.8904 0.3287  1 Cl 2.65, 3 Pt 2.80
Pt 0.5000 0.5000 0.5000  6 Ho 2.80

=====

Record 3
Material: Rb3NpCl8
Method: DFT, PBE
State: relaxed

Computed properties:
ΔE_f (raw)   -38.1 kcal/mol of atoms
E_tot   -50.42 eV/cell

Lattice parameters (Å, degrees): 7.4281 7.4281 8.9688 114.46 114.46 90.00
Last column: nearest neighbours and their distance in Å.
Fractional coordinates of all 12 atoms:
Cl 0.3197 0.8963 0.2160  1 Np 2.72
Cl 0.1037 0.1037 0.7840  1 Np 2.72
Cl 0.1037 0.6803 0.7840  1 Np 2.72
Cl 0.8963 0.8963 0.2160  1 Np 2.72
Np 0.0000 0.0000 0.0000  8 Cl 2.72
Rb 0.7500 0.2500 0.5000  8 Cl 3.36
Rb 0.2500 0.7500 0.5000  8 Cl 3.36
Cl 0.8963 0.3197 0.2160  1 Np 2.72
Cl 0.6803 0.6803 0.7840  1 Np 2.72
Cl 0.3197 0.3197 0.2160  1 Np 2.72
Cl 0.6803 0.1037 0.7840  1 Np 2.72
Rb 0.5000 0.5000 0.0000  8 Cl 3.41

=====

Record 4
Material: IrS4Br
Method: DFT, PBE
State: relaxed

Computed properties:
ΔE_f (raw)   -0.9 kcal/mol of atoms
E_tot   -54.55 eV/cell

Lattice parameters (Å, degrees): 6.8822 9.0347 8.7523 109.70 115.33 115.35
Last column: nearest neighbours and their distance in Å.
Fractional coordinates of all 12 atoms:
Br 0.6144 0.5332 0.2926  2 S 2.50-2.55
S 0.5571 0.9241 0.1411  1 S 2.10
S 0.4428 0.0759 0.8589  1 S 2.10
Br 0.3856 0.4668 0.7074  2 S 2.50-2.55
S 0.1178 0.7431 0.6366  1 S 2.10, 1 Ir 2.35
S 0.1658 0.0580 0.2261  1 S 2.10
S 0.8342 0.9420 0.7739  1 S 2.10
S 0.9335 0.7317 0.0295  1 S 2.10, 1 Ir 2.33
S 0.8822 0.2569 0.3634  1 S 2.10, 1 Ir 2.35
Ir 0.8323 0.0937 0.0597  6 S 2.33-2.42
S 0.0665 0.2683 0.9705  1 S 2.10, 1 Ir 2.33
Ir 0.1676 0.9063 0.9403  6 S 2.33-2.42

=====

Record 5
Material: SrCrFe2Tc
Method: DFT, PBE
State: relaxed

Computed properties:
Formation energy   1.66 eV per atom
E_tot   -30.28 eV/cell

Lattice parameters (Å, degrees): 4.2946 5.0834 4.2946 90.00 90.00 90.00
Last column: nearest neighbours and their distance in Å.
Fractional coordinates of all 5 atoms:
Sr 0.0000 0.5000 0.0000  2 Cr 2.54
Cr 0.0000 0.0000 0.0000  4 Fe 2.15
Fe 0.5000 0.0000 0.0000  2 Cr 2.15
Tc 0.5000 0.5000 0.5000  4 Sr 3.04, 8 Fe 3.33
Fe 0.0000 0.0000 0.5000  2 Cr 2.15

=====

Record 6
Material: Rb2B2TeS6
Method: DFT, PBE
State: relaxed

Computed properties:
ΔE_f (raw)   -11.0 kcal/mol of atoms
E_tot   -48.42 eV/cell

Lattice parameters (Å, degrees): 6.5667 7.1863 8.1156 110.52 90.00 117.19
Last column: nearest neighbours and their distance in Å.
Fractional coordinates of all 11 atoms:
S 0.1819 0.8946 0.2367  1 B 1.84
B 0.0330 0.0660 0.2981  3 S 1.76-1.84
Rb 0.6863 0.3727 0.1879  9 S 3.34-3.67
Te 0.5000 0.0000 0.5000  4 S 2.63
S 0.1821 0.3642 0.3657  1 B 1.76
S 0.8181 0.1054 0.7633  1 B 1.84
S 0.2874 0.1054 0.7633  1 B 1.84
S 0.8179 0.6358 0.6343  1 B 1.76
Rb 0.3137 0.6273 0.8121  9 S 3.34-3.67
B 0.9670 0.9340 0.7019  3 S 1.76-1.84
S 0.7126 0.8946 0.2367  1 B 1.84